Entry 1:
Compound: TlNiSb4
Source: the Alexandria database
Functional: PBE
Structure: optimized geometry

```
data_TlNiSb4
_chemical_formula_sum 'Tl4 Ni4 Sb16'
_cell_length_a 8.828
_cell_length_b 8.828
_cell_length_c 8.828
_cell_angle_alpha 90.00
_cell_angle_beta 90.00
_cell_angle_gamma 90.00
_space_group_name_H-M_alt 'F -4 3 m'
_space_group_IT_number 216
_space_group_name_Hall 'F -4 2 3'
loop_
_atom_site_label
_atom_site_type_symbol
_atom_site_fract_x
_atom_site_fract_y
_atom_site_fract_z
_atom_site_occupancy
Tl1 Tl 0.000 0.000 0.000 1
Ni1 Ni 0.250 0.250 0.750 1
Sb1 Sb 0.124 0.124 0.376 1
```

The crystal system is cubic. The formation energy from raw total energies comes out at 3.44 eV per formula unit.

---

Entry 2:
Compound: PmAlCuRh
Source: the Alexandria database
Functional: PBE
Structure: optimized geometry

```
data_PmAlCuRh
_chemical_formula_sum 'Pm4 Al4 Cu4 Rh4'
_cell_length_a 6.609
_cell_length_b 6.609
_cell_length_c 6.609
_cell_angle_alpha 90.00
_cell_angle_beta 90.00
_cell_angle_gamma 90.00
_space_group_name_H-M_alt 'F -4 3 m'
_space_group_IT_number 216
_space_group_name_Hall 'F -4 2 3'
loop_
_atom_site_label
_atom_site_type_symbol
_atom_site_fract_x
_atom_site_fract_y
_atom_site_fract_z
_atom_site_occupancy
Pm1 Pm 0.000 0.000 0.000 1
Al1 Al 0.000 0.000 0.500 1
Cu1 Cu 0.250 0.250 0.750 1
Rh1 Rh 0.250 0.250 0.250 1
```

The crystal system is cubic. The calculation puts the total energy at -5.414 eV/atom.

---

Entry 3:
Compound: SmUAs2
Source: the Alexandria database
Functional: PBE
Structure: optimized geometry

```
data_SmUAs2
_chemical_formula_sum 'Sm3 U3 As6'
_cell_length_a 4.1115
_cell_length_b 4.1115
_cell_length_c 20.6586
_cell_angle_alpha 90.00
_cell_angle_beta 90.00
_cell_angle_gamma 120.00
_space_group_name_H-M_alt 'R -3 m'
_space_group_IT_number 166
_space_group_name_Hall '-R 3 2"'
loop_
_atom_site_label
_atom_site_type_symbol
_atom_site_fract_x
_atom_site_fract_y
_atom_site_fract_z
_atom_site_occupancy
Sm1 Sm 0.0000 0.0000 0.0000 1
U1 U 0.0000 0.0000 0.5000 1
As1 As 0.0000 0.0000 0.2471 1
```

The crystal system is trigonal. The calculation puts the total energy at -7.460 eV/atom.